DFT (GGA-PBE) results for a relaxed structure of Hf2BiPW.

Output
* ΔE_f: 5.4 eV per formula unit
* DOS at the Fermi energy: 1.032 states/eV/atom

a b c (Å): 5.1037 5.1682 5.1037
angles (deg): 90.00 90.00 90.00
Closest atoms and distances in Å follow each position.
Element x y z (fractional)
P  0.5000  0.5000  0.5000  4 Bi 3.61, 8 Hf 3.63
Hf  0.5000  0.0000  0.0000  2 W 2.55
W  0.0000  0.0000  0.0000  4 Hf 2.55, 2 Bi 2.58
Bi  0.0000  0.5000  0.0000  2 W 2.58
Hf  0.0000  0.0000  0.5000  2 W 2.55



DFT (GGA-PBE) results for a relaxed structure of CaMo2Rh.

Output
* energy above the most stable polymorph in this dataset: 0.068 eV per atom
* ΔE_f: 1.1 eV per formula unit
* DOS at the Fermi energy: 0.875 states/eV/atom

a b c (Å): 5.6724 5.6724 4.5219
angles (deg): 70.48 70.48 31.16
Closest atoms and distances in Å follow each position.
Element x y z (fractional)
Rh  0.7500  0.7500  0.7500  4 Ca 2.73, 4 Mo 2.81, 2 Rh 3.05
Mo  0.4795  0.4795  0.5279  4 Mo 2.68-2.84, 2 Rh 2.81
Ca  0.2500  0.2500  0.2500  4 Rh 2.73, 2 Ca 3.05
Mo  0.0205  0.0205  0.9721  4 Mo 2.68-2.84, 2 Rh 2.81



DFT (GGA-PBE) results for a relaxed structure of Tm2Mg3Hg4.

Output
* energy above the most stable polymorph in this dataset: 0.060 eV per atom
* ΔE_f: -2.5 eV per formula unit
* DOS at the Fermi energy: 0.567 states/eV/atom

a b c (Å): 6.2595 7.9741 8.9693
angles (deg): 90.00 110.42 90.00
Closest atoms and distances in Å follow each position.
Element x y z (fractional)
Tm  0.9009  0.4075  0.8019  7 Hg 3.15-3.37, 2 Mg 3.50
Mg  0.4802  0.2500  0.4604  5 Hg 2.85-2.98, 2 Mg 3.13
Hg  0.1909  0.7500  0.8819  3 Mg 2.72-2.88
Tm  0.0991  0.5925  0.1981  7 Hg 3.15-3.37, 2 Mg 3.50
Hg  0.3091  0.2500  0.1181  3 Mg 2.72-2.88
Mg  0.5198  0.7500  0.5396  5 Hg 2.85-2.98, 2 Mg 3.13
Hg  0.8311  0.0406  0.6622  5 Mg 2.85-2.98, 1 Tm 3.15
Mg  0.0198  0.7500  0.5396  5 Hg 2.85-2.98, 2 Mg 3.13
Tm  0.4009  0.0925  0.8019  7 Hg 3.15-3.37, 2 Mg 3.50
Hg  0.6909  0.7500  0.8819  3 Mg 2.72-2.88
Hg  0.6689  0.5406  0.3378  5 Mg 2.85-2.98, 1 Tm 3.15
Hg  0.3311  0.4594  0.6622  5 Mg 2.85-2.98, 1 Tm 3.15
Tm  0.5991  0.9075  0.1981  7 Hg 3.15-3.37, 2 Mg 3.50
Hg  0.1689  0.9594  0.3378  5 Mg 2.85-2.98, 1 Tm 3.15
Hg  0.8091  0.2500  0.1181  3 Mg 2.72-2.88
Mg  0.5000  0.5000  0.0000  6 Hg 2.72-2.86
Mg  0.0000  0.0000  0.0000  6 Hg 2.72-2.86
Mg  0.9802  0.2500  0.4604  5 Hg 2.85-2.98, 2 Mg 3.13



DFT (GGA-PBE) results for a relaxed structure of SmMgH.

Output
* energy above the most stable polymorph in this dataset: 0.000 eV per atom
* DOS at the Fermi energy: 0.679 states/eV/atom

a b c (Å): 3.4518 3.4518 9.4415
angles (deg): 90.00 90.00 90.00
Closest atoms and distances in Å follow each position.
Element x y z (fractional)
H  0.0000  0.5000  0.8884  5 Sm 2.40-2.46
Mg  0.0000  0.5000  0.5995  1 H 2.73
Sm  0.0000  0.5000  0.1422  5 H 2.40-2.46
Mg  0.5000  0.0000  0.4005  1 H 2.73
H  0.5000  0.0000  0.1116  5 Sm 2.40-2.46
Sm  0.5000  0.0000  0.8578  5 H 2.40-2.46



DFT (GGA-PBE) results for a relaxed structure of BaSb3Pd.

Output
* energy above the most stable polymorph in this dataset: 0.000 eV per atom
* uncorrected formation energy: -605 meV/atom
* DOS at the Fermi energy: 0.317 states/eV/atom

a b c (Å): 6.4600 6.4621 7.2948
angles (deg): 90.00 90.00 72.91
Closest atoms and distances in Å follow each position.
Element x y z (fractional)
Sb  0.4027  0.6059  0.0524  1 Pd 2.73
Ba  0.0443  0.2465  0.0524  13 Sb 3.69-4.11, 5 Pd 3.93-4.05
Sb  0.9968  0.7660  0.8025  2 Pd 2.74
Ba  0.5163  0.7192  0.5524  13 Sb 3.69-4.11, 5 Pd 3.93-4.05
Sb  0.1579  0.3598  0.5524  1 Pd 2.73
Sb  0.5638  0.1997  0.8023  2 Pd 2.74
Sb  0.5638  0.1997  0.3025  2 Pd 2.74
Pd  0.6656  0.8689  0.0524  5 Sb 2.73-2.74
Pd  0.8950  0.0968  0.5524  5 Sb 2.73-2.74
Sb  0.9968  0.7660  0.3023  2 Pd 2.74



DFT (GGA-PBE) results for a relaxed structure of KYFe2.

Output
* energy above the most stable polymorph in this dataset: 0.000 eV per atom
* ΔE_f: 1.7 eV per formula unit
* DOS at the Fermi energy: 0.785 states/eV/atom

a b c (Å): 3.9407 3.9407 8.6208
angles (deg): 76.74 76.74 60.02
Closest atoms and distances in Å follow each position.
Element x y z (fractional)
Fe  0.9706  0.9706  0.0884  3 Fe 2.28
K  0.5271  0.5271  0.4167  6 Fe 3.43-3.55
Y  0.7046  0.7046  0.8876  6 Fe 2.82-2.92
Fe  0.2976  0.2976  0.1073  3 Fe 2.28



DFT (GGA-PBE) results for a relaxed structure of PuPaZnRh.

Output
* energy above the most stable polymorph in this dataset: 0.000 eV per atom
* ΔE_f: -1.6 eV per formula unit
* DOS at the Fermi energy: 1.328 states/eV/atom

a b c (Å): 4.7580 4.7580 4.7580
angles (deg): 60.00 60.00 60.00
Closest atoms and distances in Å follow each position.
Element x y z (fractional)
Pa  0.0000  0.0000  0.0000  4 Rh 2.91, 4 Pu 2.91
Zn  0.5000  0.5000  0.5000  4 Rh 2.91, 4 Pu 2.91
Pu  0.2500  0.2500  0.2500  4 Zn 2.91, 4 Pa 2.91
Rh  0.7500  0.7500  0.7500  4 Pa 2.91, 4 Zn 2.91



DFT (GGA-PBE) results for a relaxed structure of KBa2Sr.

Output
* energy above the most stable polymorph in this dataset: 0.039 eV per atom
* ΔE_f: 0.3 eV per formula unit
* DOS at the Fermi energy: 1.412 states/eV/atom

a b c (Å): 8.4175 8.4175 8.4175
angles (deg): 146.72 129.07 62.21
Closest atoms and distances in Å follow each position.
Element x y z (fractional)
Sr  0.2500  0.7500  0.5000  4 K 4.35, 4 Ba 4.36, 2 Sr 4.82
Ba  0.5024  0.5024  0.0000  2 K 4.31, 6 Ba 4.35-4.82, 2 Sr 4.36
K  0.7500  0.2500  0.5000  4 Ba 4.31, 4 Sr 4.35, 2 K 4.82
Ba  0.9976  0.9976  0.0000  2 K 4.31, 6 Ba 4.35-4.82, 2 Sr 4.36



DFT (GGA-PBE) results for a relaxed structure of Ac5La2YTm.

Output
* ΔE_f: 1.1 eV per formula unit
* DOS at the Fermi energy: 1.426 states/eV/atom

a b c (Å): 5.8487 11.8230 11.0224
angles (deg): 90.00 90.00 104.32
Closest atoms and distances in Å follow each position.
Element x y z (fractional)
La  0.8846  0.7692  0.7674  1 Tm 3.44, 3 Ac 3.80-3.84
Ac  0.9966  0.9932  0.5082  2 Y 3.67, 4 La 3.80-3.84, 4 Ac 4.02
La  0.8846  0.7693  0.2491  1 Tm 3.44, 3 Ac 3.80-3.84
Ac  0.5000  0.0000  0.2583  2 Y 3.59, 4 La 3.94, 4 Ac 4.02
La  0.1154  0.2307  0.7491  1 Tm 3.44, 3 Ac 3.80-3.84
Tm  0.8012  0.6024  0.5082  2 La 3.44, 4 Ac 3.60, 2 Y 3.69
Ac  0.2799  0.5598  0.6939  1 Y 3.42, 2 Ac 3.53, 2 Tm 3.60, 1 La 3.82
Tm  0.1988  0.3976  0.0082  2 La 3.44, 4 Ac 3.60, 2 Y 3.69
Ac  0.2800  0.5600  0.3224  1 Y 3.42, 2 Ac 3.53, 2 Tm 3.60, 1 La 3.82
Ac  0.6313  0.2626  0.5082  1 Tm 3.89, 4 La 3.97, 6 Ac 4.01-4.25
Ac  0.7201  0.4402  0.1939  1 Y 3.42, 2 Ac 3.53, 2 Tm 3.60, 1 La 3.82
Ac  0.5000  0.0000  0.7583  2 Y 3.59, 4 La 3.94, 4 Ac 4.02
Ac  0.3687  0.7374  0.0082  1 Tm 3.89, 4 La 3.97, 6 Ac 4.01-4.25
Ac  0.7200  0.4400  0.8224  1 Y 3.42, 2 Ac 3.53, 2 Tm 3.60, 1 La 3.82
Y  0.6004  0.2009  0.0083  6 Ac 3.42-3.67, 2 Tm 3.69
Y  0.3996  0.7991  0.5083  6 Ac 3.42-3.67, 2 Tm 3.69
Ac  0.0034  0.0068  0.0082  2 Y 3.67, 4 La 3.80-3.84, 4 Ac 4.02
La  0.1154  0.2308  0.2674  1 Tm 3.44, 3 Ac 3.80-3.84



DFT (GGA-PBE) results for a relaxed structure of GdHo3Fe.

Output
* ΔE_f: 0.4 eV per formula unit
* DOS at the Fermi energy: 1.656 states/eV/atom

a b c (Å): 5.2433 5.2433 5.2433
angles (deg): 90.00 90.00 90.00
Closest atoms and distances in Å follow each position.
Element x y z (fractional)
Ho  0.0000  0.5000  0.0000  2 Fe 2.62
Ho  0.0000  0.0000  0.5000  2 Fe 2.62
Gd  0.5000  0.5000  0.5000  12 Ho 3.71
Fe  0.0000  0.0000  0.0000  6 Ho 2.62
Ho  0.5000  0.0000  0.0000  2 Fe 2.62



DFT (GGA-PBE) results for a relaxed structure of LiTb2NdHg4.

Output
* ΔE_f: -3.6 eV per formula unit
* DOS at the Fermi energy: 0.869 states/eV/atom

a b c (Å): 5.1519 5.1519 9.2990
angles (deg): 73.92 73.92 60.00
Closest atoms and distances in Å follow each position.
Element x y z (fractional)
Nd  0.0000  0.0000  0.0000  8 Hg 3.25-3.36
Li  0.5000  0.5000  0.5000  8 Hg 3.10-3.15
Hg  0.6171  0.6171  0.1486  1 Li 3.10, 3 Tb 3.16, 3 Nd 3.25
Hg  0.1271  0.1271  0.6188  4 Tb 3.07-3.13, 3 Li 3.15, 1 Nd 3.36
Tb  0.2431  0.2431  0.2706  7 Hg 3.07-3.16
Tb  0.7569  0.7569  0.7294  7 Hg 3.07-3.16
Hg  0.8729  0.8729  0.3812  4 Tb 3.07-3.13, 3 Li 3.15, 1 Nd 3.36
Hg  0.3829  0.3829  0.8514  1 Li 3.10, 3 Tb 3.16, 3 Nd 3.25



DFT (GGA-PBE) results for a relaxed structure of Sm3P2Cl.

Output
* uncorrected formation energy: -1256 meV/atom
* DOS at the Fermi energy: 0.618 states/eV/atom

a b c (Å): 4.1078 7.8265 11.3364
angles (deg): 90.00 90.00 105.21
Closest atoms and distances in Å follow each position.
Element x y z (fractional)
Sm  0.6284  0.2568  0.4932  3 P 2.76-2.83, 1 Cl 2.91
Sm  0.3716  0.7432  0.9932  3 P 2.76-2.83, 1 Cl 2.91
Cl  0.3693  0.7387  0.2500  4 Sm 2.91-2.98
P  0.0000  0.0000  0.0000  6 Sm 2.83-2.84
P  0.6398  0.2795  0.2500  4 Sm 2.76-2.82
Sm  0.0122  0.0244  0.2500  4 P 2.82-2.84, 2 Cl 2.98
Sm  0.9878  0.9756  0.7500  4 P 2.82-2.84, 2 Cl 2.98
Sm  0.6284  0.2568  0.0068  3 P 2.76-2.83, 1 Cl 2.91
Sm  0.3716  0.7432  0.5068  3 P 2.76-2.83, 1 Cl 2.91
P  0.0000  0.0000  0.5000  6 Sm 2.83-2.84
P  0.3602  0.7205  0.7500  4 Sm 2.76-2.82
Cl  0.6307  0.2613  0.7500  4 Sm 2.91-2.98



DFT (GGA-PBE) results for a relaxed structure of Y2ScNbSn.

Output
* energy above the most stable polymorph in this dataset: 0.350 eV per atom
* ΔE_f: 5.2 eV per formula unit
* DOS at the Fermi energy: 1.425 states/eV/atom

a b c (Å): 5.3209 5.3267 5.3209
angles (deg): 90.00 90.00 90.00
Closest atoms and distances in Å follow each position.
Element x y z (fractional)
Nb  0.5000  0.5000  0.5000  4 Sn 3.76, 8 Y 3.76
Sn  0.0000  0.5000  0.0000  2 Sc 2.66
Y  0.0000  0.0000  0.5000  2 Sc 2.66
Sc  0.0000  0.0000  0.0000  4 Y 2.66, 2 Sn 2.66
Y  0.5000  0.0000  0.0000  2 Sc 2.66



DFT (GGA-PBE) results for a relaxed structure of LaSm2TmBi4.

Output
* ΔE_f: -7.3 eV per formula unit
* DOS at the Fermi energy: 0.136 states/eV/atom

a b c (Å): 4.5733 7.9165 7.9008
angles (deg): 70.53 90.00 90.00
Closest atoms and distances in Å follow each position.
Element x y z (fractional)
Tm  0.0000  0.5000  0.5000  6 Bi 3.19
Bi  0.0000  0.7521  0.7421  1 Tm 3.19, 3 Sm 3.20-3.27, 2 La 3.26
Bi  0.0000  0.2479  0.2579  1 Tm 3.19, 3 Sm 3.20-3.27, 2 La 3.26
La  0.5000  0.5000  0.0000  6 Bi 3.26
Sm  0.5000  0.0000  0.5000  6 Bi 3.20
Bi  0.5000  0.2533  0.7418  2 Tm 3.19, 3 Sm 3.20-3.27, 1 La 3.26
Bi  0.5000  0.7467  0.2582  2 Tm 3.19, 3 Sm 3.20-3.27, 1 La 3.26
Sm  0.0000  0.0000  0.0000  6 Bi 3.27



DFT (GGA-PBE) results for a relaxed structure of LiEr3Zn.

Output
* ΔE_f: -0.5 eV per formula unit
* DOS at the Fermi energy: 1.054 states/eV/atom

a b c (Å): 5.0354 5.0353 9.9767
angles (deg): 90.00 75.38 90.00
Closest atoms and distances in Å follow each position.
Element x y z (fractional)
Zn  0.6649  0.7500  0.3186  8 Er 3.06-3.13
Er  0.0745  0.7500  0.4994  4 Zn 3.06-3.07, 4 Li 3.10-3.11
Li  0.4802  0.7500  0.6880  8 Er 3.07-3.11
Er  0.7592  0.2500  0.1299  2 Li 3.07, 2 Zn 3.11
Er  0.5739  0.2500  0.5006  4 Zn 3.06-3.07, 4 Li 3.10-3.11
Zn  0.9835  0.2500  0.6814  8 Er 3.06-3.13
Er  0.8891  0.7500  0.8701  2 Li 3.07, 2 Zn 3.11
Li  0.1682  0.2500  0.3120  8 Er 3.07-3.11
Er  0.2612  0.7500  0.1259  2 Li 3.09, 2 Zn 3.13
Er  0.3871  0.2500  0.8741  2 Li 3.09, 2 Zn 3.13



DFT (GGA-PBE) results for a relaxed structure of SrInPt2.

Output
* ΔE_f: -1.8 eV per formula unit
* DOS at the Fermi energy: 0.350 states/eV/atom

a b c (Å): 5.9248 5.9248 5.9248
angles (deg): 145.24 132.76 59.97
Closest atoms and distances in Å follow each position.
Element x y z (fractional)
Sr  0.5016  0.5016  0.0000  6 Pt 2.96-3.27, 2 In 3.24
Pt  0.7828  0.2828  0.5000  2 Pt 2.83, 4 In 3.04
In  0.2171  0.7171  0.5000  6 Pt 2.86-3.04
Pt  0.9985  0.9985  0.0000  2 Pt 2.83, 2 In 2.86, 4 Sr 2.96



DFT (GGA-PBE) results for a relaxed structure of Ce6Co2IrBr3.

Output
* uncorrected formation energy: -824 meV/atom
* DOS at the Fermi energy: 2.653 states/eV/atom

a b c (Å): 6.9394 6.9394 7.9734
angles (deg): 98.35 98.35 119.98
Closest atoms and distances in Å follow each position.
Element x y z (fractional)
Ce  0.9360  0.5921  0.8077  2 Co 2.71, 1 Ir 2.80
Ir  0.0000  0.0000  0.0000  6 Ce 2.80
Ce  0.4079  0.0640  0.1923  2 Co 2.71, 1 Ir 2.80
Ce  0.5921  0.9360  0.8077  2 Co 2.71, 1 Ir 2.80
Co  0.3333  0.6667  0.0000  6 Ce 2.71
Br  0.1654  0.8346  0.5000  6 Ce 3.25-3.32
Br  0.8346  0.1654  0.5000  6 Ce 3.25-3.32
Co  0.6667  0.3333  0.0000  6 Ce 2.71
Ce  0.0640  0.4079  0.1923  2 Co 2.71, 1 Ir 2.80
Ce  0.2799  0.2799  0.8082  2 Co 2.71, 1 Ir 2.80
Br  0.5000  0.5000  0.5000  6 Ce 3.25-3.32
Ce  0.7201  0.7201  0.1918  2 Co 2.71, 1 Ir 2.80



DFT (GGA-PBE) results for a relaxed structure of Li2La3Tl6.

Output
* ΔE_f: -3.3 eV per formula unit
* DOS at the Fermi energy: 0.699 states/eV/atom

a b c (Å): 4.8152 4.8152 13.7143
angles (deg): 100.11 100.11 90.00
Closest atoms and distances in Å follow each position.
Element x y z (fractional)
Li  0.5484  0.5484  0.0968  1 Li 2.57, 4 Tl 2.73
La  0.1925  0.1925  0.3851  9 Tl 3.29-3.51
Tl  0.3163  0.3163  0.6327  5 La 3.29-3.41, 4 Tl 3.34, 1 Li 3.59
Tl  0.6837  0.6837  0.3673  5 La 3.29-3.41, 4 Tl 3.34, 1 Li 3.59
Tl  0.4034  0.9034  0.8067  2 Li 2.73
Tl  0.0966  0.5966  0.1933  2 Li 2.73
Tl  0.5966  0.0966  0.1933  2 Li 2.73
Li  0.4516  0.4516  0.9032  1 Li 2.57, 4 Tl 2.73
Tl  0.9034  0.4034  0.8067  2 Li 2.73
La  0.0000  0.0000  0.0000  8 Tl 3.52, 8 Li 3.64
La  0.8075  0.8075  0.6149  9 Tl 3.29-3.51



DFT (GGA-PBE) results for a relaxed structure of Sr2CaAlF.

Output
* energy above the most stable polymorph in this dataset: 0.644 eV per atom
* uncorrected formation energy: -457 meV/atom
* DOS at the Fermi energy: 1.051 states/eV/atom

a b c (Å): 6.9671 4.0427 6.9671
angles (deg): 90.00 90.00 90.00
Closest atoms and distances in Å follow each position.
Element x y z (fractional)
Sr  0.5000  0.0000  0.0000  2 Al 3.48
F  0.0000  0.5000  0.0000  2 Al 2.02
Al  0.0000  0.0000  0.0000  2 F 2.02
Sr  0.0000  0.0000  0.5000  2 Al 3.48
Ca  0.5000  0.5000  0.5000  8 Sr 4.03, 2 Ca 4.04